# MnCrH18N6F6 | Alexandria | PBE+U | optimized geometry
# - raw total energy (eV/cell) = -673.5
# - calculated density (kg/m³) = 2039
# - DOS at the Fermi energy (states/eV/f.u.) = 7.241
data_MnCrH18N6F6
_cell_length_a 10.172
_cell_length_b 10.172
_cell_length_c 10.172
_cell_angle_alpha 90.00
_cell_angle_beta 90.00
_cell_angle_gamma 90.00
_space_group_name_H-M_alt 'P a -3'
_space_group_IT_number 205
_space_group_name_Hall '-P 2ac 2ab 3'
loop_
_atom_site_label
_atom_site_type_symbol
_atom_site_fract_x
_atom_site_fract_y
_atom_site_fract_z
_atom_site_occupancy
Mn1 Mn 0.000 0.000 0.000 1
Cr1 Cr 0.000 0.000 0.500 1
H1 H 0.041 0.225 0.630 1
H2 H 0.056 0.105 0.738 1
H3 H 0.131 0.635 0.177 1
N1 N 0.076 0.130 0.643 1
F1 F 0.064 0.620 0.361 1